{"formula": "Er2Mo2C3", "functional": "SCAN", "state": "single point on PBEsol structure", "energy_ev_per_atom": -29.100, "magmom_total_mub_per_atom": 0.000, "formation_energy_ev_per_atom": -0.422, "lattice_angstrom": [[11.189, 0.000, 0.000], [0.000, 3.325, 0.000], [-1.766, 0.000, 5.311]], "species": ["Er", "Er", "Er", "Er", "Mo", "Mo", "Mo", "Mo", "C", "C", "C", "C", "C", "C"], "frac_coords": [[0.115, 0.000, 0.320], [0.385, 0.500, 0.680], [0.615, 0.500, 0.320], [0.885, 0.000, 0.680], [0.149, 0.500, 0.870], [0.351, 0.000, 0.130], [0.649, 0.000, 0.870], [0.851, 0.500, 0.130], [0.000, 0.500, 0.000], [0.231, 0.000, 0.757], [0.269, 0.500, 0.243], [0.500, 0.000, 0.000], [0.731, 0.500, 0.757], [0.769, 0.000, 0.243]]}